## InC (PBE)

Data for a geometry-optimized InC structure.

Calculated values
DFT formation energy in meV per atom: 1554.0
DOS at the Fermi energy in states/eV/cell: 13.62
Polymorph energy (0 for the lowest one) in kJ per mole of atoms: 81.37

Unit cell a=6.3500 b=6.3500 c=6.3500 alpha=90.00 beta=90.00 gamma=90.00
Closest atoms and distances in Å follow each position.
Element x y z (fractional)
C  0.7500  0.0000  0.5000  4 In 2.25
C  0.5000  0.7500  0.0000  4 In 2.25
C  0.2500  0.0000  0.5000  4 In 2.25
C  0.5000  0.2500  0.0000  4 In 2.25
C  0.0000  0.5000  0.7500  4 In 2.25
C  0.0000  0.5000  0.2500  4 In 2.25
In  0.2500  0.5000  0.0000  4 C 2.25
In  0.0000  0.2500  0.5000  4 C 2.25
In  0.5000  0.0000  0.7500  4 C 2.25
In  0.0000  0.7500  0.5000  4 C 2.25
In  0.5000  0.0000  0.2500  4 C 2.25
In  0.7500  0.5000  0.0000  4 C 2.25

***

## In8C (PBE)

Data for a geometry-optimized In8C structure.

Calculated values
DFT formation energy in meV per atom: 486.9
DOS at the Fermi energy in states/eV/cell: 4.55

Unit cell a=7.0631 b=7.0631 c=7.0631 alpha=100.64 beta=100.64 gamma=129.10
Closest atoms and distances in Å follow each position.
Element x y z (fractional)
In  0.0000  0.2587  0.2587  1 C 2.33
In  0.6680  0.3320  0.0000  4 In 3.03-3.07
In  0.6680  0.6680  0.3361  4 In 3.03-3.07
In  0.2587  0.0000  0.2587  1 C 2.33
In  0.3320  0.6680  0.0000  4 In 3.03-3.07
In  0.0000  0.7413  0.7413  1 C 2.33
In  0.7413  0.0000  0.7413  1 C 2.33
In  0.3320  0.3320  0.6639  4 In 3.03-3.07
C  0.0000  0.0000  0.0000  4 In 2.33

***

## InC (PBE)

Data for a geometry-optimized InC structure.

Calculated values
DFT formation energy in meV per atom: 832.7
DOS at the Fermi energy in states/eV/cell: 3.63
Polymorph energy (0 for the lowest one) in kJ per mole of atoms: 11.78

Unit cell a=10.5522 b=10.5522 c=10.5522 alpha=15.08 beta=15.08 gamma=15.08
Closest atoms and distances in Å follow each position.
Element x y z (fractional)
C  0.3333  0.3333  0.3333  3 C 1.60
C  0.6667  0.6667  0.6667  3 C 1.60
In  0.1205  0.1205  0.1205  6 In 2.77
In  0.8795  0.8795  0.8795  6 In 2.77

***

## InC (PBE)

Data for a geometry-optimized InC structure.

Calculated values
DFT formation energy in meV per atom: 2054.4
DOS at the Fermi energy in states/eV/cell: 4.66
Polymorph energy (0 for the lowest one) in kJ per mole of atoms: 129.66

Unit cell a=4.6897 b=4.6897 c=4.6897 alpha=90.00 beta=90.00 gamma=90.00
Closest atoms and distances in Å follow each position.
Element x y z (fractional)
C  0.0000  0.5000  0.5000  4 In 2.34
C  0.5000  0.0000  0.5000  4 In 2.34
C  0.5000  0.5000  0.0000  4 In 2.34
In  0.0000  0.5000  0.0000  4 C 2.34
In  0.0000  0.0000  0.5000  4 C 2.34
In  0.5000  0.0000  0.0000  4 C 2.34

***

## In2C (PBE)

Data for a geometry-optimized In2C structure.

Calculated values
DFT formation energy in meV per atom: 987.1
DOS at the Fermi energy in states/eV/cell: 1.44

Unit cell a=3.5690 b=5.2579 c=6.0608 alpha=90.00 beta=90.00 gamma=90.00
Closest atoms and distances in Å follow each position.
Element x y z (fractional)
In  0.0000  0.2322  0.6316  3 C 2.41-2.54
In  0.5000  0.7322  0.8684  3 C 2.41-2.54
In  0.0000  0.7678  0.3684  3 C 2.41-2.54
In  0.5000  0.2678  0.1316  3 C 2.41-2.54
C  0.5000  0.5000  0.5000  6 In 2.41-2.54
C  0.0000  0.0000  0.0000  6 In 2.41-2.54

***

## InC (PBE)

Data for a geometry-optimized InC structure.

Calculated values
DFT formation energy in meV per atom: 1669.7
DOS at the Fermi energy in states/eV/cell: 4.62
Polymorph energy (0 for the lowest one) in kJ per mole of atoms: 92.53

Unit cell a=6.0714 b=6.0714 c=2.9854 alpha=90.00 beta=90.00 gamma=120.00
Closest atoms and distances in Å follow each position.
Element x y z (fractional)
C  0.0000  0.0000  0.0000  3 In 2.19
C  0.3333  0.6667  0.5000  6 In 2.45
C  0.6667  0.3333  0.5000  6 In 2.45
In  0.0000  0.3607  0.0000  1 C 2.19
In  0.3607  0.0000  0.0000  1 C 2.19
In  0.6393  0.6393  0.0000  1 C 2.19

***

## InC (PBE)

Data for a geometry-optimized InC structure.

Calculated values
DFT formation energy in meV per atom: 1937.9
DOS at the Fermi energy in states/eV/cell: 1.32
Polymorph energy (0 for the lowest one) in kJ per mole of atoms: 118.41

Unit cell a=3.2876 b=3.2876 c=3.1246 alpha=90.00 beta=90.00 gamma=90.00
Closest atoms and distances in Å follow each position.
Element x y z (fractional)
In  0.5000  0.5000  0.0000  4 C 2.32
C  0.0000  0.0000  0.0000  4 In 2.32

***

## In2C (PBE)

Data for a geometry-optimized In2C structure.

Calculated values
DFT formation energy in meV per atom: 999.3
DOS at the Fermi energy in states/eV/cell: 2.58

Unit cell a=6.0168 b=6.0168 c=7.9174 alpha=52.26 beta=52.26 gamma=33.19
Closest atoms and distances in Å follow each position.
Element x y z (fractional)
In  0.2438  0.2438  0.1834  3 C 2.26-2.44
In  0.0793  0.0793  0.6748  2 C 2.30
In  0.7562  0.7562  0.8166  3 C 2.26-2.44
In  0.9207  0.9207  0.3252  2 C 2.30
C  0.4088  0.4088  0.8119  5 In 2.26-2.44
C  0.5912  0.5912  0.1881  5 In 2.26-2.44

***

## InC2 (PBE)

Data for a geometry-optimized InC2 structure.

Calculated values
DFT formation energy in meV per atom: 690.7
DOS at the Fermi energy in states/eV/cell: 0.91
Polymorph energy (0 for the lowest one) in kJ per mole of atoms: 1.95

Unit cell a=2.6422 b=8.8352 c=2.6426 alpha=91.50 beta=120.03 gamma=80.59
Closest atoms and distances in Å follow each position.
Element x y z (fractional)
C  0.6159  0.3521  0.2106  3 C 1.52-1.53
C  0.9493  0.3520  0.8773  3 C 1.52-1.53
In  0.2790  0.8520  0.0434  6 In 2.64

***

## InC (PBE)

Data for a geometry-optimized InC structure.

Calculated values
DFT formation energy in meV per atom: 1912.8
DOS at the Fermi energy in states/eV/cell: 2.25
Polymorph energy (0 for the lowest one) in kJ per mole of atoms: 115.99

Unit cell a=3.2564 b=5.8066 c=3.3850 alpha=90.00 beta=90.00 gamma=90.00
Closest atoms and distances in Å follow each position.
Element x y z (fractional)
C  0.0000  0.5000  0.3355  4 In 2.31-2.39
C  0.0000  0.0000  0.9978  4 In 2.31-2.39
In  0.5000  0.0000  0.4819  4 C 2.31-2.39
In  0.5000  0.5000  0.8515  4 C 2.31-2.39

***

## In5C4 (PBE)

Data for a geometry-optimized In5C4 structure.

Calculated values
DFT formation energy in meV per atom: 1532.2
DOS at the Fermi energy in states/eV/cell: 6.21
Polymorph energy (0 for the lowest one) in kJ per mole of atoms: 47.79

Unit cell a=7.1178 b=7.1178 c=6.5249 alpha=90.00 beta=90.00 gamma=120.00
Closest atoms and distances in Å follow each position.
Element x y z (fractional)
In  0.3333  0.6667  0.0000  6 C 2.65
In  0.0000  0.2416  0.7500  3 C 2.21-2.37
In  0.0000  0.7584  0.2500  3 C 2.21-2.37
In  0.6667  0.3333  0.5000  6 C 2.65
In  0.6667  0.3333  0.0000  6 C 2.65
In  0.2416  0.2416  0.2500  3 C 2.21-2.37
In  0.3333  0.6667  0.5000  6 C 2.65
In  0.7584  0.0000  0.2500  3 C 2.21-2.37
In  0.7584  0.7584  0.7500  3 C 2.21-2.37
In  0.2416  0.0000  0.7500  3 C 2.21-2.37
C  0.0000  0.5527  0.7500  1 In 2.21
C  0.0000  0.4473  0.2500  1 In 2.21
C  0.4473  0.0000  0.2500  1 In 2.21
C  0.5527  0.5527  0.2500  1 In 2.21
C  0.0000  0.0000  0.5000  6 In 2.37
C  0.4473  0.4473  0.7500  1 In 2.21
C  0.0000  0.0000  0.0000  6 In 2.37
C  0.5527  0.0000  0.7500  1 In 2.21

***

## InC2 (PBE)

Data for a geometry-optimized InC2 structure.

Calculated values
DFT formation energy in meV per atom: 2311.4
DOS at the Fermi energy in states/eV/cell: 0.69
Polymorph energy (0 for the lowest one) in kJ per mole of atoms: 158.32

Unit cell a=2.6081 b=2.6081 c=5.2146 alpha=90.00 beta=90.00 gamma=90.00
Closest atoms and distances in Å follow each position.
Element x y z (fractional)
In  0.0000  0.0000  0.0000  4 In 2.61, 8 C 2.92
C  0.0000  0.5000  0.5000  4 C 1.84
C  0.5000  0.0000  0.5000  4 C 1.84

***

Which formula does entry 3 have?
InC

***

What is the DOS at the Fermi energy in the fifth record?
1.44 states/eV/cell

***

DOS at the Fermi energy of number 6 (InC)?
4.62 states/eV/cell